# 1
Below is an optimized crystal structure of Ce6Ga2Hg, with properties calculated at the GGA-PBE level.

```
data_Ce6Ga2Hg
_symmetry_space_group_name_H-M 'P 6/m m m'
_symmetry_Int_Tables_number 191
_symmetry_space_group_name_Hall '-P 6 2'
_cell_length_a 8.9456
_cell_length_b 8.9456
_cell_length_c 2.9796
_cell_angle_alpha 90.00
_cell_angle_beta 90.00
_cell_angle_gamma 120.00
loop_
_atom_site_label
_atom_site_type_symbol
_atom_site_fract_x
_atom_site_fract_y
_atom_site_fract_z
Ce1 Ce 0.0000 0.3453 0.0000
Ga1 Ga 0.3333 0.6667 0.5000
Hg1 Hg 0.0000 0.0000 0.5000
```

The calculated density comes out at 9.5 g cm⁻³. The calculation puts the size of the total moment at 2.0 μB per formula unit. The calculation puts the electronic total energy at -44.11 eV for the cell shown. The excess energy over the best structure of this formula in the dataset comes out at 0.000 eV/atom.


# 2
Below is an optimized crystal structure of RbFe2BiRh, with properties calculated at the GGA-PBE level.

```
data_RbFe2BiRh
_symmetry_space_group_name_H-M 'P 4/m m m'
_symmetry_Int_Tables_number 123
_symmetry_space_group_name_Hall '-P 4 2'
_cell_length_a 4.575
_cell_length_b 4.575
_cell_length_c 4.997
_cell_angle_alpha 90.00
_cell_angle_beta 90.00
_cell_angle_gamma 90.00
loop_
_atom_site_label
_atom_site_type_symbol
_atom_site_fract_x
_atom_site_fract_y
_atom_site_fract_z
Rb1 Rb 0.000 0.000 0.000
Fe1 Fe 0.000 0.500 0.000
Bi1 Bi 0.500 0.500 0.500
Rh1 Rh 0.000 0.000 0.500
```

The calculated density comes out at 8.1 g cm⁻³. The calculation puts the size of the total moment at 0.1 μB per formula unit. The calculation puts the electronic total energy at -16.72 eV for the cell shown.


# 3
Below is an optimized crystal structure of YEr2Th, with properties calculated at the GGA-PBE level.

```
data_YEr2Th
_symmetry_space_group_name_H-M 'P 4/m m m'
_symmetry_Int_Tables_number 123
_symmetry_space_group_name_Hall '-P 4 2'
_cell_length_a 3.549
_cell_length_b 3.549
_cell_length_c 10.035
_cell_angle_alpha 90.00
_cell_angle_beta 90.00
_cell_angle_gamma 90.00
loop_
_atom_site_label
_atom_site_type_symbol
_atom_site_fract_x
_atom_site_fract_y
_atom_site_fract_z
Y1 Y 0.000 0.000 0.000
Er1 Er 0.500 0.500 0.256
Th1 Th 0.000 0.000 0.500
```

The calculated density comes out at 8.6 g cm⁻³. The calculation puts the size of the total moment at 0.0 μB per formula unit. The calculation puts the electronic total energy at -22.92 eV for the cell shown. The excess energy over the best structure of this formula in the dataset comes out at 0.021 eV/atom.


# 4
Below is an optimized crystal structure of RbTmFe2Cl8, with properties calculated at the GGA-PBE level.

```
data_RbTmFe2Cl8
_symmetry_space_group_name_H-M 'C 1 2/m 1'
_symmetry_Int_Tables_number 12
_cell_length_a 10.684
_cell_length_b 7.342
_cell_length_c 9.763
_cell_angle_alpha 90.00
_cell_angle_beta 94.54
_cell_angle_gamma 90.00
loop_
_symmetry_equiv_pos_as_xyz
'x,y,z'
'-x,-y,-z'
'-x,y,-z'
'x,-y,z'
'x+1/2,y+1/2,z'
'-x+1/2,-y+1/2,-z'
'-x+1/2,y+1/2,-z'
'x+1/2,-y+1/2,z'
loop_
_atom_site_label
_atom_site_type_symbol
_atom_site_fract_x
_atom_site_fract_y
_atom_site_fract_z
Rb1 Rb 0.000 0.000 0.000
Tm1 Tm 0.000 0.000 0.500
Fe1 Fe 0.126 0.500 0.289
Cl1 Cl 0.008 0.246 0.696
Cl2 Cl 0.196 0.500 0.081
Cl3 Cl 0.245 0.000 0.510
```

The calculated density comes out at 2.8 g cm⁻³. The calculation puts the size of the total moment at 8.0 μB per formula unit. The calculation puts the electronic total energy at -108.13 eV for the cell shown.


# 5
Below is an optimized crystal structure of TiAlNi2Pt, with properties calculated at the GGA-PBE level.

```
data_TiAlNi2Pt
_symmetry_space_group_name_H-M 'P 4/m m m'
_symmetry_Int_Tables_number 123
_symmetry_space_group_name_Hall '-P 4 2'
_cell_length_a 4.198
_cell_length_b 4.198
_cell_length_c 4.750
_cell_angle_alpha 90.00
_cell_angle_beta 90.00
_cell_angle_gamma 90.00
loop_
_atom_site_label
_atom_site_type_symbol
_atom_site_fract_x
_atom_site_fract_y
_atom_site_fract_z
Ti1 Ti 0.000 0.000 0.000
Al1 Al 0.000 0.000 0.500
Ni1 Ni 0.000 0.500 0.000
Pt1 Pt 0.500 0.500 0.500
```

The calculated density comes out at 7.7 g cm⁻³. The calculation puts the size of the total moment at 0.0 μB per formula unit. The calculation puts the electronic total energy at -24.76 eV for the cell shown.


# 6
Below is an optimized crystal structure of KAg3Au, with properties calculated at the GGA-PBE level.

```
data_KAg3Au
_symmetry_space_group_name_H-M 'I m m a'
_symmetry_Int_Tables_number 74
_symmetry_space_group_name_Hall '-I 2b 2'
_cell_length_a 5.671
_cell_length_b 9.683
_cell_length_c 9.537
_cell_angle_alpha 90.00
_cell_angle_beta 90.00
_cell_angle_gamma 90.00
loop_
_atom_site_label
_atom_site_type_symbol
_atom_site_fract_x
_atom_site_fract_y
_atom_site_fract_z
K1 K 0.000 0.250 0.045
Ag1 Ag 0.000 0.250 0.654
Ag2 Ag 0.250 0.017 0.750
Au1 Au 0.000 0.000 0.500
```

The calculated density comes out at 7.1 g cm⁻³. The calculation puts the size of the total moment at 0.0 μB per formula unit. The calculation puts the electronic total energy at -52.16 eV for the cell shown. The excess energy over the best structure of this formula in the dataset comes out at 0.000 eV/atom.


# 7
Below is an optimized crystal structure of RbTaHg, with properties calculated at the GGA-PBE level.

```
data_RbTaHg
_symmetry_space_group_name_H-M 'F -4 3 m'
_symmetry_Int_Tables_number 216
_symmetry_space_group_name_Hall 'F -4 2 3'
_cell_length_a 7.550
_cell_length_b 7.550
_cell_length_c 7.550
_cell_angle_alpha 90.00
_cell_angle_beta 90.00
_cell_angle_gamma 90.00
loop_
_atom_site_label
_atom_site_type_symbol
_atom_site_fract_x
_atom_site_fract_y
_atom_site_fract_z
Rb1 Rb 0.000 0.000 0.000
Ta1 Ta 0.000 0.000 0.500
Hg1 Hg 0.250 0.250 0.250
```

The calculated density comes out at 7.2 g cm⁻³. The calculation puts the size of the total moment at 4.0 μB per formula unit. The calculation puts the electronic total energy at -32.22 eV for the cell shown. The excess energy over the best structure of this formula in the dataset comes out at 1.339 eV/atom.


# 8
Below is an optimized crystal structure of Y5AgIr2, with properties calculated at the GGA-PBE level.

```
data_Y5AgIr2
_symmetry_space_group_name_H-M 'I 4/m c m'
_symmetry_Int_Tables_number 140
_symmetry_space_group_name_Hall '-I 4 2c'
_cell_length_a 7.743
_cell_length_b 7.743
_cell_length_c 13.470
_cell_angle_alpha 90.00
_cell_angle_beta 90.00
_cell_angle_gamma 90.00
loop_
_atom_site_label
_atom_site_type_symbol
_atom_site_fract_x
_atom_site_fract_y
_atom_site_fract_z
Y1 Y 0.000 0.000 0.000
Y2 Y 0.160 0.340 0.136
Ag1 Ag 0.000 0.000 0.250
Ir1 Ir 0.140 0.360 0.500
```

The calculated density comes out at 7.7 g cm⁻³. The calculation puts the size of the total moment at 0.0 μB per formula unit. The calculation puts the electronic total energy at -231.30 eV for the cell shown.


# 9
Below is an optimized crystal structure of TcH3O, with properties calculated at the GGA-PBE level.

```
data_TcH3O
_symmetry_space_group_name_H-M 'P m -3 m'
_symmetry_Int_Tables_number 221
_symmetry_space_group_name_Hall '-P 4 2 3'
_cell_length_a 3.242
_cell_length_b 3.242
_cell_length_c 3.242
_cell_angle_alpha 90.00
_cell_angle_beta 90.00
_cell_angle_gamma 90.00
loop_
_atom_site_label
_atom_site_type_symbol
_atom_site_fract_x
_atom_site_fract_y
_atom_site_fract_z
Tc1 Tc 0.000 0.000 0.000
H1 H 0.000 0.500 0.500
O1 O 0.500 0.500 0.500
```

The calculated density comes out at 5.7 g cm⁻³. The calculation puts the size of the total moment at 2.6 μB per formula unit. The calculation puts the electronic total energy at -20.17 eV for the cell shown. The excess energy over the best structure of this formula in the dataset comes out at 0.172 eV/atom.


# 10
Below is an optimized crystal structure of PaIn2Ge3Ir4, with properties calculated at the GGA-PBE level.

```
data_PaIn2Ge3Ir4
_symmetry_space_group_name_H-M 'P -4 m 2'
_symmetry_Int_Tables_number 115
_cell_length_a 4.319
_cell_length_b 4.319
_cell_length_c 10.668
_cell_angle_alpha 90.00
_cell_angle_beta 90.00
_cell_angle_gamma 90.00
loop_
_symmetry_equiv_pos_as_xyz
'x,y,z'
'y,-x,-z'
'-x,-y,z'
'-y,x,-z'
'-x,y,z'
'-y,-x,-z'
'x,-y,z'
'y,x,-z'
loop_
_atom_site_label
_atom_site_type_symbol
_atom_site_fract_x
_atom_site_fract_y
_atom_site_fract_z
Pa1 Pa 0.000 0.000 0.000
In1 In 0.000 0.500 0.737
Ge1 Ge 0.000 0.500 0.379
Ge2 Ge 0.500 0.500 0.000
Ir1 Ir 0.000 0.000 0.500
Ir2 Ir 0.000 0.500 0.146
Ir3 Ir 0.500 0.500 0.500
```

The calculated density comes out at 12.1 g cm⁻³. The calculation puts the size of the total moment at 0.0 μB per formula unit. The calculation puts the electronic total energy at -66.68 eV for the cell shown.


# 11
Below is an optimized crystal structure of Pr5PaN4, with properties calculated at the GGA-PBE level.

```
data_Pr5PaN4
_symmetry_space_group_name_H-M 'C 1 2/m 1'
_symmetry_Int_Tables_number 12
_cell_length_a 15.988
_cell_length_b 3.622
_cell_length_c 7.453
_cell_angle_alpha 90.00
_cell_angle_beta 101.99
_cell_angle_gamma 90.00
loop_
_symmetry_equiv_pos_as_xyz
'x,y,z'
'-x,-y,-z'
'-x,y,-z'
'x,-y,z'
'x+1/2,y+1/2,z'
'-x+1/2,-y+1/2,-z'
'-x+1/2,y+1/2,-z'
'x+1/2,-y+1/2,z'
loop_
_atom_site_label
_atom_site_type_symbol
_atom_site_fract_x
_atom_site_fract_y
_atom_site_fract_z
Pr1 Pr 0.000 0.000 0.000
Pr2 Pr 0.158 0.500 0.811
Pr3 Pr 0.167 0.500 0.346
Pa1 Pa 0.000 0.000 0.500
N1 N 0.001 0.500 0.289
N2 N 0.155 0.000 0.574
```

The calculated density comes out at 7.8 g cm⁻³. The calculation puts the size of the total moment at 0.0 μB per formula unit. The calculation puts the electronic total energy at -155.49 eV for the cell shown.


# 12
Below is an optimized crystal structure of Nd7Er2Sc2, with properties calculated at the GGA-PBE level.

```
data_Nd7Er2Sc2
_symmetry_space_group_name_H-M 'C 1 2/m 1'
_symmetry_Int_Tables_number 12
_cell_length_a 10.977
_cell_length_b 11.550
_cell_length_c 6.105
_cell_angle_alpha 90.00
_cell_angle_beta 111.26
_cell_angle_gamma 90.00
loop_
_symmetry_equiv_pos_as_xyz
'x,y,z'
'-x,-y,-z'
'-x,y,-z'
'x,-y,z'
'x+1/2,y+1/2,z'
'-x+1/2,-y+1/2,-z'
'-x+1/2,y+1/2,-z'
'x+1/2,-y+1/2,z'
loop_
_atom_site_label
_atom_site_type_symbol
_atom_site_fract_x
_atom_site_fract_y
_atom_site_fract_z
Nd1 Nd 0.000 0.000 0.000
Nd2 Nd 0.077 0.500 0.795
Nd3 Nd 0.181 0.238 0.192
Er1 Er 0.212 0.000 0.583
Sc1 Sc 0.000 0.222 0.500
```

The calculated density comes out at 6.6 g cm⁻³. The calculation puts the size of the total moment at 0.0 μB per formula unit. The calculation puts the electronic total energy at -107.11 eV for the cell shown. The excess energy over the best structure of this formula in the dataset comes out at 0.000 eV/atom.